# 1
Here is crystalline Na3In3PdO8 at its relaxed geometry from the Alexandria database. Energies are from GGA-PBE.

Cell: 6.6836 6.6836 6.6836 Å, 58.08 58.08 58.08°
With the nearest neighbours (Å) after each atom.
Sites, in units of the cell vectors:
Na 0.0000 0.5000 0.5000  6 O 2.46
Na 0.5000 0.0000 0.5000  6 O 2.46
Na 0.5000 0.5000 0.0000  6 O 2.46
In 0.0000 0.0000 0.5000  6 O 2.21-2.24
In 0.0000 0.5000 0.0000  6 O 2.21-2.24
In 0.5000 0.0000 0.0000  6 O 2.21-2.24
Pd 0.5000 0.5000 0.5000  6 O 2.06
O 0.2375 0.2375 0.2375  3 In 2.21, 3 Na 2.46
O 0.2568 0.7215 0.7215  1 Pd 2.06, 2 In 2.24
O 0.2785 0.2785 0.7432  1 Pd 2.06, 2 In 2.24
O 0.2785 0.7432 0.2785  1 Pd 2.06, 2 In 2.24
O 0.7215 0.2568 0.7215  1 Pd 2.06, 2 In 2.24
O 0.7215 0.7215 0.2568  1 Pd 2.06, 2 In 2.24
O 0.7432 0.2785 0.2785  1 Pd 2.06, 2 In 2.24
O 0.7625 0.7625 0.7625  3 In 2.21, 3 Na 2.46

Computed properties:
Crystal system ... trigonal
ΔE_f (raw) ... -1.415 eV/atom
Calculated total energy ... -78.3 eV for the cell shown



# 2
Here is crystalline Cd2C3 at its relaxed geometry from the Alexandria database. Energies are from GGA-PBE.

Cell: 7.4819 5.8864 8.4197 Å, 60.00 42.95 77.05°
With the nearest neighbours (Å) after each atom.
Sites, in units of the cell vectors:
Cd 0.2655 0.7345 0.3246  3 C 2.20-2.38
Cd 0.5746 0.9254 0.5155  3 C 2.20-2.38
Cd 0.7345 0.2655 0.6754  3 C 2.20-2.38
Cd 0.9254 0.5746 0.9845  3 C 2.20-2.38
C 0.3289 0.6531 0.5862  1 C 1.33
C 0.4783 0.4783 0.5217  2 C 1.33
C 0.6531 0.3289 0.4318  1 C 1.33
C 0.6638 0.8182 0.9211  1 C 1.33
C 0.7283 0.7283 0.7717  2 C 1.33
C 0.8182 0.6638 0.5969  1 C 1.33

Computed properties:
Formation energy from the elements ... 0.875 eV/atom
Crystal system ... orthorhombic
Energy above the lowest structure with this stoichiometry ... 0 meV/atom
Calculated total energy ... -50.2 eV for the cell shown



One value per record, in order, for volume: 201.8; 212.4 Å³/cell.